# 1
Density functional theory data (PBE) for a relaxed structure of Rb2LiTl6In.

Geometry as CIF:
```
data_Rb2LiTl6In
_space_group_name_H-M_alt 'P -1'
_space_group_IT_number 2
_space_group_name_Hall '-P 1'
_cell_length_a 7.734
_cell_length_b 7.746
_cell_length_c 8.133
_cell_angle_alpha 90.24
_cell_angle_beta 118.33
_cell_angle_gamma 119.68
loop_
_atom_site_label
_atom_site_fract_x
_atom_site_fract_y
_atom_site_fract_z
Rb1 0.121 0.310 0.432
Li1 0.500 0.500 0.000
Tl1 0.015 0.168 0.869
Tl2 0.303 0.654 0.135
Tl3 0.481 0.148 0.135
In1 0.500 0.000 0.500
```

Calculated values
The value obtained for the formation energy is -0.06 eV/atom.



# 2
Density functional theory data (PBE) for a relaxed structure of Li2InRe.

Geometry as CIF:
```
data_Li2InRe
_space_group_name_H-M_alt 'F -4 3 m'
_space_group_IT_number 216
_space_group_name_Hall 'F -4 2 3'
_cell_length_a 6.428
_cell_length_b 6.428
_cell_length_c 6.428
_cell_angle_alpha 90.00
_cell_angle_beta 90.00
_cell_angle_gamma 90.00
loop_
_atom_site_label
_atom_site_fract_x
_atom_site_fract_y
_atom_site_fract_z
Li1 0.000 0.000 0.000
Li2 0.250 0.250 0.250
In1 0.000 0.000 0.500
Re1 0.250 0.250 0.750
```

Calculated values
The value obtained for the formation energy is 0.47 eV/atom.



# 3
Density functional theory data (PBE) for a relaxed structure of Li2InRe.

Geometry as CIF:
```
data_Li2InRe
_space_group_name_H-M_alt 'R 3 m'
_space_group_IT_number 160
_space_group_name_Hall 'R 3 -2"'
_cell_length_a 2.8869
_cell_length_b 2.8869
_cell_length_c 29.0554
_cell_angle_alpha 90.00
_cell_angle_beta 90.00
_cell_angle_gamma 120.00
loop_
_atom_site_label
_atom_site_fract_x
_atom_site_fract_y
_atom_site_fract_z
Li1 0.0000 0.0000 0.0000
Li2 0.0000 0.0000 0.2448
In1 0.0000 0.0000 0.4940
Re1 0.0000 0.0000 0.7445
```

Calculated values
The value obtained for the formation energy is 0.30 eV/atom.



# 4
Density functional theory data (PBE) for a relaxed structure of LiInRe.

Geometry as CIF:
```
data_LiInRe
_space_group_name_H-M_alt 'I 4 m m'
_space_group_IT_number 107
_space_group_name_Hall 'I 4 -2'
_cell_length_a 3.084
_cell_length_b 3.084
_cell_length_c 9.982
_cell_angle_alpha 90.00
_cell_angle_beta 90.00
_cell_angle_gamma 90.00
loop_
_atom_site_label
_atom_site_fract_x
_atom_site_fract_y
_atom_site_fract_z
Li1 0.000 0.000 0.000
In1 0.000 0.000 0.339
Re1 0.000 0.000 0.652
```

Calculated values
The value obtained for the formation energy is 0.58 eV/atom.



# 5
Density functional theory data (PBE) for a relaxed structure of Li2InRe.

Geometry as CIF:
```
data_Li2InRe
_space_group_name_H-M_alt 'C 1 m 1'
_space_group_IT_number 8
_space_group_name_Hall 'C -2y'
_cell_length_a 9.672
_cell_length_b 2.712
_cell_length_c 5.092
_cell_angle_alpha 90.00
_cell_angle_beta 99.80
_cell_angle_gamma 90.00
loop_
_atom_site_label
_atom_site_fract_x
_atom_site_fract_y
_atom_site_fract_z
Li1 0.000 0.000 0.000
Li2 0.245 0.000 0.782
In1 0.003 0.500 0.483
Re1 0.250 0.500 0.278
```

Calculated values
The value obtained for the formation energy is 0.32 eV/atom.



# 6
Density functional theory data (PBE) for a relaxed structure of LiInRe.

Geometry as CIF:
```
data_LiInRe
_space_group_name_H-M_alt 'I m m 2'
_space_group_IT_number 44
_space_group_name_Hall 'I 2 -2'
_cell_length_a 2.703
_cell_length_b 4.376
_cell_length_c 8.408
_cell_angle_alpha 90.00
_cell_angle_beta 90.00
_cell_angle_gamma 90.00
loop_
_atom_site_label
_atom_site_fract_x
_atom_site_fract_y
_atom_site_fract_z
Li1 0.000 0.000 0.000
In1 0.000 0.000 0.331
Re1 0.000 0.000 0.666
```

Calculated values
The value obtained for the formation energy is 0.44 eV/atom.



# 7
Density functional theory data (PBE) for a relaxed structure of Li2InRe.

Geometry as CIF:
```
data_Li2InRe
_space_group_name_H-M_alt 'C 1 2/m 1'
_space_group_IT_number 12
_space_group_name_Hall '-C 2y'
_cell_length_a 9.798
_cell_length_b 2.801
_cell_length_c 4.898
_cell_angle_alpha 90.00
_cell_angle_beta 100.89
_cell_angle_gamma 90.00
loop_
_atom_site_label
_atom_site_fract_x
_atom_site_fract_y
_atom_site_fract_z
Li1 0.247 0.000 0.215
In1 0.000 0.000 0.500
Re1 0.000 0.500 0.000
```

Calculated values
The value obtained for the formation energy is 0.24 eV/atom.



# 8
Density functional theory data (PBE) for a relaxed structure of Li2InRe.

Geometry as CIF:
```
data_Li2InRe
_space_group_name_H-M_alt 'R -3 m'
_space_group_IT_number 166
_space_group_name_Hall '-R 3 2"'
_cell_length_a 2.8387
_cell_length_b 2.8387
_cell_length_c 29.0925
_cell_angle_alpha 90.00
_cell_angle_beta 90.00
_cell_angle_gamma 120.00
loop_
_atom_site_label
_atom_site_fract_x
_atom_site_fract_y
_atom_site_fract_z
Li1 0.0000 0.0000 0.2436
In1 0.0000 0.0000 0.0000
Re1 0.0000 0.0000 0.5000
```

Calculated values
The value obtained for the formation energy is 0.32 eV/atom.



# 9
Density functional theory data (PBE) for a relaxed structure of LiInRe.

Geometry as CIF:
```
data_LiInRe
_space_group_name_H-M_alt 'I 4 m m'
_space_group_IT_number 107
_space_group_name_Hall 'I 4 -2'
_cell_length_a 2.755
_cell_length_b 2.755
_cell_length_c 13.660
_cell_angle_alpha 90.00
_cell_angle_beta 90.00
_cell_angle_gamma 90.00
loop_
_atom_site_label
_atom_site_fract_x
_atom_site_fract_y
_atom_site_fract_z
Li1 0.000 0.000 0.000
In1 0.000 0.000 0.677
Re1 0.000 0.000 0.346
```

Calculated values
The value obtained for the formation energy is 0.44 eV/atom.



# 10
Density functional theory data (PBE) for a relaxed structure of LiInRe3.

Geometry as CIF:
```
data_LiInRe3
_space_group_name_H-M_alt 'P m -3 m'
_space_group_IT_number 221
_space_group_name_Hall '-P 4 2 3'
_cell_length_a 4.879
_cell_length_b 4.879
_cell_length_c 4.879
_cell_angle_alpha 90.00
_cell_angle_beta 90.00
_cell_angle_gamma 90.00
loop_
_atom_site_label
_atom_site_fract_x
_atom_site_fract_y
_atom_site_fract_z
Li1 0.000 0.000 0.000
In1 0.500 0.500 0.500
Re1 0.000 0.500 0.500
```

Calculated values
The value obtained for the formation energy is 2.96 eV/atom.



# 11
Density functional theory data (PBE) for a relaxed structure of Li2InRe.

Geometry as CIF:
```
data_Li2InRe
_space_group_name_H-M_alt 'P m m m'
_space_group_IT_number 47
_space_group_name_Hall '-P 2 2'
_cell_length_a 2.679
_cell_length_b 4.498
_cell_length_c 5.499
_cell_angle_alpha 90.00
_cell_angle_beta 90.00
_cell_angle_gamma 90.00
loop_
_atom_site_label
_atom_site_fract_x
_atom_site_fract_y
_atom_site_fract_z
Li1 0.000 0.000 0.218
In1 0.500 0.500 0.500
Re1 0.500 0.500 0.000
```

Calculated values
The value obtained for the formation energy is 0.35 eV/atom.



# 12
Density functional theory data (PBE) for a relaxed structure of Li2InRe.

Geometry as CIF:
```
data_Li2InRe
_space_group_name_H-M_alt 'P 4 m m'
_space_group_IT_number 99
_space_group_name_Hall 'P 4 -2'
_cell_length_a 2.775
_cell_length_b 2.775
_cell_length_c 9.040
_cell_angle_alpha 90.00
_cell_angle_beta 90.00
_cell_angle_gamma 90.00
loop_
_atom_site_label
_atom_site_fract_x
_atom_site_fract_y
_atom_site_fract_z
Li1 0.000 0.000 0.000
Li2 0.500 0.500 0.279
In1 0.500 0.500 0.756
Re1 0.000 0.000 0.507
```

Calculated values
The value obtained for the formation energy is 0.30 eV/atom.



# 13
Density functional theory data (PBE) for a relaxed structure of Li2InRe.

Geometry as CIF:
```
data_Li2InRe
_space_group_name_H-M_alt 'P m m 2'
_space_group_IT_number 25
_space_group_name_Hall 'P 2 -2'
_cell_length_a 2.731
_cell_length_b 4.351
_cell_length_c 5.635
_cell_angle_alpha 90.00
_cell_angle_beta 90.00
_cell_angle_gamma 90.00
loop_
_atom_site_label
_atom_site_fract_x
_atom_site_fract_y
_atom_site_fract_z
Li1 0.000 0.000 0.000
Li2 0.500 0.500 0.240
In1 0.500 0.500 0.712
Re1 0.000 0.000 0.487
```

Calculated values
The value obtained for the formation energy is 0.34 eV/atom.



# 14
Density functional theory data (PBE) for a relaxed structure of Li2InRe.

Geometry as CIF:
```
data_Li2InRe
_space_group_name_H-M_alt 'P 4/m m m'
_space_group_IT_number 123
_space_group_name_Hall '-P 4 2'
_cell_length_a 2.698
_cell_length_b 2.698
_cell_length_c 9.120
_cell_angle_alpha 90.00
_cell_angle_beta 90.00
_cell_angle_gamma 90.00
loop_
_atom_site_label
_atom_site_fract_x
_atom_site_fract_y
_atom_site_fract_z
Li1 0.000 0.000 0.233
In1 0.500 0.500 0.500
Re1 0.500 0.500 0.000
```

Calculated values
The value obtained for the formation energy is 0.23 eV/atom.



# 15
Density functional theory data (PBE) for a relaxed structure of Li3InRe.

Geometry as CIF:
```
data_Li3InRe
_space_group_name_H-M_alt 'P m -3 m'
_space_group_IT_number 221
_space_group_name_Hall '-P 4 2 3'
_cell_length_a 4.874
_cell_length_b 4.874
_cell_length_c 4.874
_cell_angle_alpha 90.00
_cell_angle_beta 90.00
_cell_angle_gamma 90.00
loop_
_atom_site_label
_atom_site_fract_x
_atom_site_fract_y
_atom_site_fract_z
Li1 0.000 0.000 0.500
In1 0.500 0.500 0.500
Re1 0.000 0.000 0.000
```

Calculated values
The value obtained for the formation energy is 1.19 eV/atom.



# 16
Density functional theory data (PBE) for a relaxed structure of Li2InRe.

Geometry as CIF:
```
data_Li2InRe
_space_group_name_H-M_alt 'I -4 2 d'
_space_group_IT_number 122
_space_group_name_Hall 'I -4 2bw'
_cell_length_a 7.012
_cell_length_b 7.012
_cell_length_c 5.379
_cell_angle_alpha 90.00
_cell_angle_beta 90.00
_cell_angle_gamma 90.00
loop_
_atom_site_label
_atom_site_fract_x
_atom_site_fract_y
_atom_site_fract_z
Li1 0.250 0.250 0.375
In1 0.000 0.000 0.000
Re1 0.000 0.000 0.500
```

Calculated values
The value obtained for the formation energy is 0.79 eV/atom.



# 17
Density functional theory data (PBE) for a relaxed structure of Li2InRe.

Geometry as CIF:
```
data_Li2InRe
_space_group_name_H-M_alt 'C m m m'
_space_group_IT_number 65
_space_group_name_Hall '-C 2 2'
_cell_length_a 5.491
_cell_length_b 8.952
_cell_length_c 2.665
_cell_angle_alpha 90.00
_cell_angle_beta 90.00
_cell_angle_gamma 90.00
loop_
_atom_site_label
_atom_site_fract_x
_atom_site_fract_y
_atom_site_fract_z
Li1 0.250 0.250 0.000
In1 0.000 0.000 0.500
Re1 0.000 0.500 0.500
```

Calculated values
The value obtained for the formation energy is 0.34 eV/atom.



# 18
Density functional theory data (PBE) for a relaxed structure of Li2InRe.

Geometry as CIF:
```
data_Li2InRe
_space_group_name_H-M_alt 'P 4/m m m'
_space_group_IT_number 123
_space_group_name_Hall '-P 4 2'
_cell_length_a 4.591
_cell_length_b 4.591
_cell_length_c 2.804
_cell_angle_alpha 90.00
_cell_angle_beta 90.00
_cell_angle_gamma 90.00
loop_
_atom_site_label
_atom_site_fract_x
_atom_site_fract_y
_atom_site_fract_z
Li1 0.000 0.500 0.000
In1 0.000 0.000 0.500
Re1 0.500 0.500 0.500
```

Calculated values
The value obtained for the formation energy is 0.44 eV/atom.



# 19
Density functional theory data (PBE) for a relaxed structure of LiInRe.

Geometry as CIF:
```
data_LiInRe
_space_group_name_H-M_alt 'F m m 2'
_space_group_IT_number 42
_space_group_name_Hall 'F 2 -2'
_cell_length_a 3.205
_cell_length_b 4.532
_cell_length_c 14.088
_cell_angle_alpha 90.00
_cell_angle_beta 90.00
_cell_angle_gamma 90.00
loop_
_atom_site_label
_atom_site_fract_x
_atom_site_fract_y
_atom_site_fract_z
Li1 0.000 0.000 0.000
In1 0.000 0.000 0.673
Re1 0.000 0.000 0.344
```

Calculated values
The value obtained for the formation energy is 0.39 eV/atom.



# 20
Density functional theory data (PBE) for a relaxed structure of LiInRe3.

Geometry as CIF:
```
data_LiInRe3
_space_group_name_H-M_alt 'P m -3 m'
_space_group_IT_number 221
_space_group_name_Hall '-P 4 2 3'
_cell_length_a 4.244
_cell_length_b 4.244
_cell_length_c 4.244
_cell_angle_alpha 90.00
_cell_angle_beta 90.00
_cell_angle_gamma 90.00
loop_
_atom_site_label
_atom_site_fract_x
_atom_site_fract_y
_atom_site_fract_z
Li1 0.000 0.000 0.000
In1 0.500 0.500 0.500
Re1 0.000 0.000 0.500
```

Calculated values
The value obtained for the formation energy is 1.46 eV/atom.